[1]
Compound: Cs2RbNaHg
Source: Alexandria
Functional: PBE
Structure: relaxed

As for the space-group type: P4/mmm (123). The formation energy is 0.023 eV/atom. Its energy above the most stable polymorph in this dataset is 0.57 eV per formula unit.

Cell lengths 7.9444, 7.9444, 6.0003 Å; angles 90.00, 90.00, 90.00 degrees
Sites, in units of the cell vectors:
Cs (0.0000, 0.5000, 0.0000)
Cs (0.5000, 0.0000, 0.0000)
Rb (0.0000, 0.0000, 0.5000)
Na (0.5000, 0.5000, 0.0000)
Hg (0.5000, 0.5000, 0.5000)



[2]
Compound: LiTlInHg2
Source: Alexandria
Functional: PBE
Structure: relaxed

As for the space-group type: P3m1 (156). The formation energy is -0.068 eV/atom. Its energy above the most stable polymorph in this dataset is 0.00 eV per formula unit.

Cell lengths 5.0260, 5.0260, 6.1920 Å; angles 90.00, 90.00, 120.00 degrees
Sites, in units of the cell vectors:
Li (0.0000, 0.0000, 0.0000)
Tl (0.6667, 0.3333, 0.2843)
In (0.3333, 0.6667, 0.6377)
Hg (0.0000, 0.0000, 0.5347)
Hg (0.3333, 0.6667, 0.1094)



[3]
Compound: NdYCd3
Source: Alexandria
Functional: PBE
Structure: relaxed

As for the space-group type: Cmcm (63). The formation energy is -0.318 eV/atom.

Cell lengths 14.9687, 14.9687, 5.0304 Å; angles 90.00, 90.00, 166.48 degrees
Sites, in units of the cell vectors:
Nd (0.0751, 0.9249, 0.7500)
Nd (0.9249, 0.0751, 0.2500)
Y (0.2141, 0.7859, 0.2500)
Y (0.7859, 0.2141, 0.7500)
Cd (0.3226, 0.6774, 0.2500)
Cd (0.3774, 0.6226, 0.7500)
Cd (0.4759, 0.5241, 0.7500)
Cd (0.5241, 0.4759, 0.2500)
Cd (0.6226, 0.3774, 0.2500)
Cd (0.6774, 0.3226, 0.7500)



[4]
Compound: Nb2AlGe
Source: Alexandria
Functional: PBE
Structure: relaxed

As for the space-group type: P2_1/m (11). The formation energy is -0.328 eV/atom.

Cell lengths 5.2544, 3.8104, 7.1711 Å; angles 90.00, 109.92, 90.00 degrees
Sites, in units of the cell vectors:
Nb (0.2007, 0.2500, 0.4269)
Nb (0.2059, 0.2500, 0.9243)
Nb (0.7941, 0.7500, 0.0757)
Nb (0.7993, 0.7500, 0.5731)
Al (0.3328, 0.7500, 0.2089)
Al (0.6672, 0.2500, 0.7911)
Ge (0.3407, 0.7500, 0.7093)
Ge (0.6593, 0.2500, 0.2907)